No. 1
Density functional theory data (PBE-GGA) for PmPuBrN2 after structural relaxation.

Spin magnetization ... 4.00 μB per formula unit

abc: 7.1361 4.1431 7.8847
angles: 90.00 108.71 90.00
Closest atoms and distances in Å follow each position.
Sites, in units of the cell vectors:
Pm 0.1592 0.2500 0.4224  4 N 2.34-2.49
Pm 0.8408 0.7500 0.5776  4 N 2.34-2.49
Pu 0.1495 0.2500 0.9207  4 N 2.12-2.21
Pu 0.8505 0.7500 0.0793  4 N 2.12-2.21
Br 0.4722 0.7500 0.7248  3 Pm 3.20-3.40, 1 Pu 3.20
Br 0.5278 0.2500 0.2752  3 Pm 3.20-3.40, 1 Pu 3.20
N 0.0007 0.7500 0.3595  1 Pu 2.12, 3 Pm 2.34-2.35
N 0.0362 0.7500 0.9019  3 Pu 2.21
N 0.9638 0.2500 0.0981  3 Pu 2.21
N 0.9993 0.2500 0.6405  1 Pu 2.12, 3 Pm 2.34-2.35

No. 2
Density functional theory data (PBE-GGA) for Pm6Rh2Br3N after structural relaxation.

Spin magnetization ... 0.00 μB per formula unit

abc: 6.9220 6.9220 7.9955
angles: 98.10 98.10 119.92
Closest atoms and distances in Å follow each position.
Sites, in units of the cell vectors:
Pm 0.0607 0.3713 0.1858  1 N 2.58, 2 Rh 2.78
Pm 0.2516 0.2516 0.8135  1 N 2.59, 2 Rh 2.78
Pm 0.3713 0.0607 0.1858  1 N 2.58, 2 Rh 2.78
Pm 0.6287 0.9393 0.8142  1 N 2.58, 2 Rh 2.78
Pm 0.7484 0.7484 0.1865  1 N 2.59, 2 Rh 2.78
Pm 0.9393 0.6287 0.8142  1 N 2.58, 2 Rh 2.78
Rh 0.3330 0.6670 0.0000  6 Pm 2.78
Rh 0.6670 0.3330 0.0000  6 Pm 2.78
Br 0.1633 0.8367 0.5000  6 Pm 3.27-3.48
Br 0.5000 0.5000 0.5000  6 Pm 3.30-3.42
Br 0.8367 0.1633 0.5000  6 Pm 3.27-3.48
N 0.0000 0.0000 0.0000  6 Pm 2.58-2.59

No. 3
Density functional theory data (PBE-GGA) for Pm6Ru2Br3N after structural relaxation.

Spin magnetization ... 0.00 μB per formula unit

abc: 6.8849 6.8849 8.0053
angles: 98.27 98.27 119.90
Closest atoms and distances in Å follow each position.
Sites, in units of the cell vectors:
Pm 0.0608 0.3711 0.1865  1 N 2.57, 2 Ru 2.76-2.79
Pm 0.2526 0.2526 0.8132  1 N 2.60, 2 Ru 2.77
Pm 0.3711 0.0608 0.1865  1 N 2.57, 2 Ru 2.76-2.79
Pm 0.6289 0.9392 0.8135  1 N 2.57, 2 Ru 2.76-2.79
Pm 0.7474 0.7474 0.1868  1 N 2.60, 2 Ru 2.77
Pm 0.9392 0.6289 0.8135  1 N 2.57, 2 Ru 2.76-2.79
Ru 0.3321 0.6679 0.0000  6 Pm 2.76-2.79
Ru 0.6679 0.3321 0.0000  6 Pm 2.76-2.79
Br 0.1664 0.8336 0.5000  6 Pm 3.27-3.44
Br 0.5000 0.5000 0.5000  6 Pm 3.28-3.41
Br 0.8336 0.1664 0.5000  6 Pm 3.27-3.44
N 0.0000 0.0000 0.0000  6 Pm 2.57-2.60

No. 4
Density functional theory data (PBE-GGA) for Pm6SBr3N2 after structural relaxation.

Spin magnetization ... 0.00 μB per formula unit

abc: 6.6561 6.6561 7.5624
angles: 98.45 98.45 119.96
Closest atoms and distances in Å follow each position.
Sites, in units of the cell vectors:
Pm 0.0827 0.4391 0.8171  2 N 2.52, 1 S 2.72
Pm 0.2045 0.2045 0.1822  2 N 2.52, 1 S 2.71
Pm 0.4391 0.0827 0.8171  2 N 2.52, 1 S 2.72
Pm 0.5609 0.9173 0.1829  2 N 2.52, 1 S 2.72
Pm 0.7955 0.7955 0.8178  2 N 2.52, 1 S 2.71
Pm 0.9173 0.5609 0.1829  2 N 2.52, 1 S 2.72
S 0.5000 0.5000 0.0000  6 Pm 2.71-2.72
Br 0.0000 0.0000 0.5000  6 Pm 3.09-3.25
Br 0.3372 0.6628 0.5000  6 Pm 3.11-3.25
Br 0.6628 0.3372 0.5000  6 Pm 3.11-3.25
N 0.1668 0.8332 0.0000  6 Pm 2.52
N 0.8332 0.1668 0.0000  6 Pm 2.52

No. 5
Density functional theory data (PBE-GGA) for PmSbBrN2 after structural relaxation.

Spin magnetization ... 0.00 μB per formula unit

abc: 7.1385 4.2276 7.9051
angles: 90.00 107.60 90.00
Closest atoms and distances in Å follow each position.
Sites, in units of the cell vectors:
Pm 0.1686 0.2500 0.4275  4 N 2.36-2.59
Pm 0.8314 0.7500 0.5725  4 N 2.36-2.59
Sb 0.1200 0.2500 0.9078  4 N 2.04-2.20
Sb 0.8800 0.7500 0.0922  4 N 2.04-2.20
Br 0.4546 0.7500 0.6890  3 Pm 3.09-3.22, 1 N 3.47
Br 0.5454 0.2500 0.3110  3 Pm 3.09-3.22, 1 N 3.47
N 0.0046 0.7500 0.3609  1 Sb 2.04
N 0.0330 0.7500 0.9053  3 Sb 2.09-2.20
N 0.9670 0.2500 0.0947  3 Sb 2.09-2.20
N 0.9954 0.2500 0.6391  1 Sb 2.04

No. 6
Density functional theory data (PBE-GGA) for Pm6Si2Br3N after structural relaxation.

Spin magnetization ... 0.00 μB per formula unit

abc: 7.0088 7.0088 7.7462
angles: 98.67 98.67 119.94
Closest atoms and distances in Å follow each position.
Sites, in units of the cell vectors:
Pm 0.0646 0.3697 0.1945  1 N 2.58, 2 Si 2.83-2.84
Pm 0.2392 0.2392 0.8044  1 N 2.58, 2 Si 2.84
Pm 0.3697 0.0646 0.1945  1 N 2.58, 2 Si 2.83-2.84
Pm 0.6303 0.9354 0.8055  1 N 2.58, 2 Si 2.83-2.84
Pm 0.7608 0.7608 0.1956  1 N 2.58, 2 Si 2.84
Pm 0.9354 0.6303 0.8055  1 N 2.58, 2 Si 2.83-2.84
Si 0.3337 0.6663 0.0000  6 Pm 2.83-2.84
Si 0.6663 0.3337 0.0000  6 Pm 2.83-2.84
Br 0.1713 0.8287 0.5000  6 Pm 3.18-3.36
Br 0.5000 0.5000 0.5000  6 Pm 3.18-3.39
Br 0.8287 0.1713 0.5000  6 Pm 3.18-3.36
N 0.0000 0.0000 0.0000  6 Pm 2.58

no.,DOS at the Fermi energy (states/eV/cell),E_form (uncorrected) (kJ per mole of atoms)
1,12.51,-140.38
2,1.28,-109.06
3,8.86,-93.00
4,4.53,-139.16
5,3.02,-64.45
6,4.72,-111.69